Record 1
# TbCe2PrBi5 | Alexandria | PBE-GGA | relaxed
data_TbCe2PrBi5
_chemical_formula_sum 'Tb1 Ce2 Pr1 Bi5'
_symmetry_space_group_name_H-M 'P 4/m m m'
_symmetry_Int_Tables_number 123
_symmetry_space_group_name_Hall '-P 4 2'
_cell_length_a 5.4546
_cell_length_b 5.4546
_cell_length_c 12.0871
_cell_angle_alpha 90.00
_cell_angle_beta 90.00
_cell_angle_gamma 90.00
loop_
_atom_site_label
_atom_site_type_symbol
_atom_site_fract_x
_atom_site_fract_y
_atom_site_fract_z
Tb1 Tb 0.0000 0.0000 0.0000
Ce1 Ce 0.5000 0.5000 0.2203
Pr1 Pr 0.0000 0.0000 0.5000
Bi1 Bi 0.0000 0.0000 0.2496
Bi2 Bi 0.0000 0.5000 0.0000
Bi3 Bi 0.5000 0.5000 0.5000
# final energy: -41.78 eV per cell
# energy of formation: -0.12 eV per atom

---

Record 2
# Na2In2SnHg7 | Alexandria | PBE-GGA | relaxed
data_Na2In2SnHg7
_chemical_formula_sum 'Na4 In4 Sn2 Hg14'
_symmetry_space_group_name_H-M 'I m m 2'
_symmetry_Int_Tables_number 44
_cell_length_a 5.2400
_cell_length_b 21.1842
_cell_length_c 5.6562
_cell_angle_alpha 90.00
_cell_angle_beta 90.00
_cell_angle_gamma 90.00
loop_
_symmetry_equiv_pos_as_xyz
'x,y,z'
'-x,-y,z'
'-x,y,z'
'x,-y,z'
'x+1/2,y+1/2,z+1/2'
'-x+1/2,-y+1/2,z+1/2'
'-x+1/2,y+1/2,z+1/2'
'x+1/2,-y+1/2,z+1/2'
loop_
_atom_site_label
_atom_site_type_symbol
_atom_site_fract_x
_atom_site_fract_y
_atom_site_fract_z
Na1 Na 0.0000 0.2478 0.0000
In1 In 0.0000 0.3491 0.5445
Sn1 Sn 0.0000 0.0000 0.4906
Hg1 Hg 0.0000 0.0826 0.9681
Hg2 Hg 0.0000 0.1724 0.4807
Hg3 Hg 0.0000 0.4138 0.0438
Hg4 Hg 0.0000 0.5000 0.5587
# final energy: -29.58 eV per cell
# energy of formation: -0.05 eV per atom

---

Record 3
# Pr4Sm2Tm | Alexandria | PBE-GGA | relaxed
data_Pr4Sm2Tm
_chemical_formula_sum 'Pr32 Sm16 Tm8'
_symmetry_space_group_name_H-M 'F d d 2'
_symmetry_Int_Tables_number 43
_symmetry_space_group_name_Hall 'F 2 -2d'
_cell_length_a 12.1679
_cell_length_b 24.5487
_cell_length_c 6.5387
_cell_angle_alpha 90.00
_cell_angle_beta 90.00
_cell_angle_gamma 90.00
loop_
_atom_site_label
_atom_site_type_symbol
_atom_site_fract_x
_atom_site_fract_y
_atom_site_fract_z
Pr1 Pr 0.0512 0.0696 0.0000
Pr2 Pr 0.0663 0.1437 0.5299
Sm1 Sm 0.0230 0.2146 0.0519
Tm1 Tm 0.0000 0.0000 0.4974
# final energy: -260.78 eV per cell
# energy of formation: 0.06 eV per atom
# polymorph energy (0 for the lowest one): 0.000 eV/atom

---

Record 4
# ScSnHPd2 | Alexandria | PBE-GGA | relaxed
data_ScSnHPd2
_chemical_formula_sum 'Sc1 Sn1 H1 Pd2'
_symmetry_space_group_name_H-M 'P 4/m m m'
_symmetry_Int_Tables_number 123
_symmetry_space_group_name_Hall '-P 4 2'
_cell_length_a 4.2632
_cell_length_b 4.2632
_cell_length_c 4.1218
_cell_angle_alpha 90.00
_cell_angle_beta 90.00
_cell_angle_gamma 90.00
loop_
_atom_site_label
_atom_site_type_symbol
_atom_site_fract_x
_atom_site_fract_y
_atom_site_fract_z
Sc1 Sc 0.0000 0.0000 0.0000
Sn1 Sn 0.5000 0.5000 0.0000
H1 H 0.0000 0.0000 0.5000
Pd1 Pd 0.0000 0.5000 0.5000
# final energy: -26.77 eV per cell

---

Record 5
# Ti4VTc2 | Alexandria | PBE-GGA | relaxed
data_Ti4VTc2
_chemical_formula_sum 'Ti8 V2 Tc4'
_symmetry_space_group_name_H-M 'I 4/m m m'
_symmetry_Int_Tables_number 139
_symmetry_space_group_name_Hall '-I 4 2'
_cell_length_a 4.4433
_cell_length_b 4.4433
_cell_length_c 12.5000
_cell_angle_alpha 90.00
_cell_angle_beta 90.00
_cell_angle_gamma 90.00
loop_
_atom_site_label
_atom_site_type_symbol
_atom_site_fract_x
_atom_site_fract_y
_atom_site_fract_z
Ti1 Ti 0.0000 0.0000 0.1957
Ti2 Ti 0.0000 0.5000 0.0000
V1 V 0.0000 0.0000 0.0000
Tc1 Tc 0.0000 0.0000 0.3725
# final energy: -114.96 eV per cell
# energy of formation: 0.56 eV per atom

---

Record 6
# Ti2AlBr | Alexandria | PBE-GGA | relaxed
data_Ti2AlBr
_chemical_formula_sum 'Ti8 Al4 Br4'
_symmetry_space_group_name_H-M 'I -4 2 d'
_symmetry_Int_Tables_number 122
_symmetry_space_group_name_Hall 'I -4 2bw'
_cell_length_a 3.9997
_cell_length_b 3.9997
_cell_length_c 19.2149
_cell_angle_alpha 90.00
_cell_angle_beta 90.00
_cell_angle_gamma 90.00
loop_
_atom_site_label
_atom_site_type_symbol
_atom_site_fract_x
_atom_site_fract_y
_atom_site_fract_z
Ti1 Ti 0.2436 0.2500 0.1250
Al1 Al 0.0000 0.0000 0.0000
Br1 Br 0.0000 0.0000 0.5000
# final energy: -79.93 eV per cell
# E_form (uncorrected): 305 meV/atom
# polymorph energy (0 for the lowest one): 0.126 eV/atom

---

Record 7
# AgPW2 | Alexandria | PBE-GGA | relaxed
data_AgPW2
_chemical_formula_sum 'Ag2 P2 W4'
_symmetry_space_group_name_H-M 'C m m 2'
_symmetry_Int_Tables_number 35
_cell_length_a 3.2383
_cell_length_b 4.5402
_cell_length_c 9.0813
_cell_angle_alpha 90.00
_cell_angle_beta 90.00
_cell_angle_gamma 90.00
loop_
_symmetry_equiv_pos_as_xyz
'x,y,z'
'-x,-y,z'
'-x,y,z'
'x,-y,z'
'x+1/2,y+1/2,z'
'-x+1/2,-y+1/2,z'
'-x+1/2,y+1/2,z'
'x+1/2,-y+1/2,z'
loop_
_atom_site_label
_atom_site_type_symbol
_atom_site_fract_x
_atom_site_fract_y
_atom_site_fract_z
Ag1 Ag 0.0000 0.0000 0.0000
P1 P 0.0000 0.5000 0.7122
W1 W 0.0000 0.0000 0.5047
W2 W 0.0000 0.5000 0.2638
# final energy: -65.35 eV per cell
# energy of formation: 0.37 eV per atom
# polymorph energy (0 for the lowest one): 0.093 eV/atom

---

Record 8
# CaHo6Tm8 | Alexandria | PBE-GGA | relaxed
data_CaHo6Tm8
_chemical_formula_sum 'Ca3 Ho18 Tm24'
_symmetry_space_group_name_H-M 'R -3'
_symmetry_Int_Tables_number 148
_symmetry_space_group_name_Hall '-R 3'
_cell_length_a 6.1386
_cell_length_b 6.1386
_cell_length_c 42.6010
_cell_angle_alpha 90.00
_cell_angle_beta 90.00
_cell_angle_gamma 120.00
loop_
_atom_site_label
_atom_site_type_symbol
_atom_site_fract_x
_atom_site_fract_y
_atom_site_fract_z
Ca1 Ca 0.0000 0.0000 0.0000
Ho1 Ho 0.0001 0.3402 0.9317
Tm1 Tm 0.0000 0.0000 0.3333
Tm2 Tm 0.9999 0.3326 0.1340
# final energy: -194.10 eV per cell
# energy of formation: 0.04 eV per atom

---

Record 9
# MgSi2Ru | Alexandria | PBE-GGA | relaxed
data_MgSi2Ru
_chemical_formula_sum 'Mg4 Si8 Ru4'
_symmetry_space_group_name_H-M 'F -4 3 m'
_symmetry_Int_Tables_number 216
_symmetry_space_group_name_Hall 'F -4 2 3'
_cell_length_a 6.1362
_cell_length_b 6.1362
_cell_length_c 6.1362
_cell_angle_alpha 90.00
_cell_angle_beta 90.00
_cell_angle_gamma 90.00
loop_
_atom_site_label
_atom_site_type_symbol
_atom_site_fract_x
_atom_site_fract_y
_atom_site_fract_z
Mg1 Mg 0.0000 0.0000 0.0000
Si1 Si 0.0000 0.0000 0.5000
Si2 Si 0.2500 0.2500 0.2500
Ru1 Ru 0.2500 0.2500 0.7500
# final energy: -84.18 eV per cell
# E_form (uncorrected): 168 meV/atom

---

Record 10
# LaZnTc2 | Alexandria | PBE-GGA | relaxed
data_LaZnTc2
_chemical_formula_sum 'La4 Zn4 Tc8'
_symmetry_space_group_name_H-M 'I -4 2 d'
_symmetry_Int_Tables_number 122
_symmetry_space_group_name_Hall 'I -4 2bw'
_cell_length_a 7.6615
_cell_length_b 7.6615
_cell_length_c 5.4059
_cell_angle_alpha 90.00
_cell_angle_beta 90.00
_cell_angle_gamma 90.00
loop_
_atom_site_label
_atom_site_type_symbol
_atom_site_fract_x
_atom_site_fract_y
_atom_site_fract_z
La1 La 0.0000 0.0000 0.0000
Zn1 Zn 0.0000 0.0000 0.5000
Tc1 Tc 0.1954 0.2500 0.6250
# final energy: -96.79 eV per cell
# energy of formation: 0.68 eV per atom

---

Record 11
# Pr4ZnPSe2 | Alexandria | PBE-GGA | relaxed
data_Pr4ZnPSe2
_chemical_formula_sum 'Pr4 Zn1 P1 Se2'
_symmetry_space_group_name_H-M 'P 1 2/m 1'
_symmetry_Int_Tables_number 10
_cell_length_a 7.3959
_cell_length_b 4.2205
_cell_length_c 7.4406
_cell_angle_alpha 90.00
_cell_angle_beta 108.97
_cell_angle_gamma 90.00
loop_
_symmetry_equiv_pos_as_xyz
'x,y,z'
'-x,-y,-z'
'-x,y,-z'
'x,-y,z'
loop_
_atom_site_label
_atom_site_type_symbol
_atom_site_fract_x
_atom_site_fract_y
_atom_site_fract_z
Pr1 Pr 0.2373 0.0000 0.2393
Pr2 Pr 0.2424 0.5000 0.7500
Zn1 Zn 0.5000 0.0000 0.0000
P1 P 0.0000 0.5000 0.0000
Se1 Se 0.0000 0.0000 0.5000
Se2 Se 0.5000 0.5000 0.5000
# final energy: -43.69 eV per cell
# E_form (uncorrected): -1365 meV/atom

---

Record 12
# CsYBMo2 | Alexandria | PBE-GGA | relaxed
data_CsYBMo2
_chemical_formula_sum 'Cs1 Y1 B1 Mo2'
_symmetry_space_group_name_H-M 'P 4/m m m'
_symmetry_Int_Tables_number 123
_symmetry_space_group_name_Hall '-P 4 2'
_cell_length_a 5.1899
_cell_length_b 5.1899
_cell_length_c 4.9857
_cell_angle_alpha 90.00
_cell_angle_beta 90.00
_cell_angle_gamma 90.00
loop_
_atom_site_label
_atom_site_type_symbol
_atom_site_fract_x
_atom_site_fract_y
_atom_site_fract_z
Cs1 Cs 0.0000 0.0000 0.0000
Y1 Y 0.5000 0.5000 0.5000
B1 B 0.5000 0.5000 0.0000
Mo1 Mo 0.0000 0.5000 0.5000
# final energy: -23.67 eV per cell
# energy of formation: 2.40 eV per atom

---

Please write out number 12 again, unchanged.
# CsYBMo2 | Alexandria | PBE-GGA | relaxed
data_CsYBMo2
_chemical_formula_sum 'Cs1 Y1 B1 Mo2'
_symmetry_space_group_name_H-M 'P 4/m m m'
_symmetry_Int_Tables_number 123
_symmetry_space_group_name_Hall '-P 4 2'
_cell_length_a 5.1899
_cell_length_b 5.1899
_cell_length_c 4.9857
_cell_angle_alpha 90.00
_cell_angle_beta 90.00
_cell_angle_gamma 90.00
loop_
_atom_site_label
_atom_site_type_symbol
_atom_site_fract_x
_atom_site_fract_y
_atom_site_fract_z
Cs1 Cs 0.0000 0.0000 0.0000
Y1 Y 0.5000 0.5000 0.5000
B1 B 0.5000 0.5000 0.0000
Mo1 Mo 0.0000 0.5000 0.5000
# final energy: -23.67 eV per cell
# energy of formation: 2.40 eV per atom